Entry 1:
## TlCdIn2 (PBE)

Data for a relaxed structure of TlCdIn2.

abc: 3.7865 3.7865 7.6349
angles: 90.00 90.00 90.00
Space group P4mm (No. 99)
Asymmetric unit:
1 Tl 0.0000 0.0000 0.0000 x1
2 Cd 0.5000 0.5000 0.2520 x1
3 In 0.0000 0.0000 0.4801 x1
4 In 0.5000 0.5000 0.7295 x1

Output
final energy = -2.160 eV per atom

Entry 2:
## TlCd2In3 (PBE)

Data for a relaxed structure of TlCd2In3.

abc: 6.8489 6.8489 23.6992
angles: 90.00 90.00 120.00
Space group R-3m (No. 166, hexagonal axes)
Asymmetric unit:
1 Tl 0.0000 0.0000 0.2209 x6
2 Cd 0.0000 0.0000 0.0000 x3
3 Cd 0.0000 0.5000 0.0000 x9
4 In 0.0054 0.5027 0.2263 x18

Output
final energy = -2.023 eV per atom

Entry 3:
## Tl2CdIn (PBE)

Data for a relaxed structure of Tl2CdIn.

abc: 3.2813 5.7752 6.3529
angles: 97.42 102.21 100.01
Space group P1 (No. 1)
Asymmetric unit:
1 Tl 0.0000 0.0000 0.0000 x1
2 Tl 0.4358 0.4568 0.7364 x1
3 Cd 0.8025 0.4818 0.2577 x1
4 In 0.6282 0.9588 0.4724 x1

Output
final energy = -2.057 eV per atom

no.,size of the total moment (μB per cell),calculated density (Mg/m³),formation enthalpy at 0 K (meV/atom)
1,0.000,8.29,30
2,0.000,8.01,46
3,0.000,9.25,39